Entry from Alexandria via LeMat-Bulk: a relaxed structure of TmHf3Al8 (PBE).

Calculated values
Calculated total energy, eV for the cell shown: -69.665
Energy of formation, eV per formula unit: -5.4
Size of the total moment, μB per formula unit: 0.000

abc: 5.3326 5.3326 9.2468
angles: 73.24 73.24 60.00
With the nearest neighbours (Å) after each atom.
Atoms (fractional coordinates):
1 Al 0.9369 0.4349 0.6912  6 Al 2.64-2.68
2 Al 0.9395 0.4386 0.1833  6 Al 2.64-2.70
3 Al 0.9369 0.9369 0.6912  6 Al 2.64-2.68
4 Al 0.6877 0.6877 0.9369  6 Al 2.64
5 Al 0.4386 0.9395 0.1833  6 Al 2.64-2.70
6 Al 0.1871 0.1871 0.4386  6 Al 2.68-2.70
7 Al 0.4349 0.9369 0.6912  6 Al 2.64-2.68
8 Al 0.4386 0.4386 0.1833  6 Al 2.64-2.70
9 Hf 0.3755 0.3755 0.8734  12 Al 3.10-3.13, 4 Hf 3.20-3.26
10 Hf 0.4979 0.4979 0.5062  12 Al 3.12-3.21, 1 Hf 3.20, 3 Tm 3.28
11 Hf 0.0012 0.0012 0.9965  12 Al 3.07-3.12, 3 Hf 3.26, 1 Tm 3.30
12 Tm 0.8750 0.8750 0.3750  12 Al 3.13-3.16, 4 Hf 3.28-3.30